(1)
First-principles (PBE) data for a geometry-optimized La3Pm2NbN6 structure, as listed in Alexandria via LeMat-Bulk.

a b c (Å): 6.1591 6.1591 6.2128
angles (deg): 99.47 99.47 119.94
Last column: nearest neighbours and their distance in Å.
Fractional positions:
La  0.0000  0.0000  0.0000  6 N 2.55-2.76
La  0.3350  0.6650  0.0000  6 N 2.52-2.82
La  0.6650  0.3350  0.0000  6 N 2.52-2.82
Pm  0.1670  0.8330  0.5000  6 N 2.52-2.54
Pm  0.8330  0.1670  0.5000  6 N 2.52-2.54
Nb  0.5000  0.5000  0.5000  6 N 2.25-2.29
N  0.1282  0.4264  0.2804  1 Nb 2.25
N  0.2741  0.2741  0.7277  1 Nb 2.29, 2 La 2.52, 2 Pm 2.54
N  0.4264  0.1282  0.2804  1 Nb 2.25
N  0.5736  0.8718  0.7196  1 Nb 2.25
N  0.7259  0.7259  0.2723  1 Nb 2.29, 2 La 2.52, 2 Pm 2.54
N  0.8718  0.5736  0.7196  1 Nb 2.25

Computed properties:
symmetry	C2/m

(2)
First-principles (PBE) data for a geometry-optimized CeHoTh2N4 structure, as listed in Alexandria via LeMat-Bulk.

a b c (Å): 6.2160 3.5901 6.2272
angles (deg): 90.00 109.44 90.00
Last column: nearest neighbours and their distance in Å.
Fractional positions:
Ce  0.0000  0.0000  0.0000  6 N 2.53
Ho  0.0000  0.5000  0.5000  6 N 2.50-2.51
Th  0.5000  0.0000  0.5000  6 N 2.55
Th  0.5000  0.5000  0.0000  6 N 2.57-2.58
N  0.2439  0.0000  0.7452  2 Ho 2.51, 1 Ce 2.53, 3 Th 2.55-2.57
N  0.2442  0.5000  0.2528  1 Ho 2.50, 2 Ce 2.53, 3 Th 2.55-2.58
N  0.7561  0.0000  0.2548  2 Ho 2.51, 1 Ce 2.53, 3 Th 2.55-2.57
N  0.7558  0.5000  0.7472  1 Ho 2.50, 2 Ce 2.53, 3 Th 2.55-2.58

Computed properties:
symmetry	P2/m

no.,theoretical density (Mg/m³),energy (eV/f.u.),raw formation energy (eV/atom)
1,7.608,-99.92,-1.3014
2,10.456,-71.30,-1.5807